--- w ---
Computed, not measured: a geometry-optimized KPb3C structure at the GGA-PBE level of DFT.

Output
SG: Pm-3m
DOS at the Fermi energy (states/eV per cell): 5.082

Lattice parameters (Å, degrees): 6.076 6.076 6.076 90.00 90.00 90.00
Fractional coordinates of all 5 atoms:
K (0.000, 0.000, 0.000)
Pb (0.000, 0.000, 0.500)
Pb (0.000, 0.500, 0.000)
Pb (0.500, 0.000, 0.000)
C (0.500, 0.500, 0.500)


--- x ---
Computed, not measured: a geometry-optimized KPb3C structure at the GGA-PBE level of DFT.

Output
SG: Pm-3m
DOS at the Fermi energy (states/eV per cell): 4.238

Lattice parameters (Å, degrees): 5.278 5.278 5.278 90.00 90.00 90.00
Fractional coordinates of all 5 atoms:
K (0.000, 0.000, 0.000)
Pb (0.000, 0.500, 0.500)
Pb (0.500, 0.000, 0.500)
Pb (0.500, 0.500, 0.000)
C (0.500, 0.500, 0.500)


Ranking the structures above from most stable to least stable yields x, w.